! Th6Sb4As | the Alexandria database | GGA-PBE | optimized geometry; values from VASP
! energy relative to the elements, uncorrected	-776.8	meV per atom
! mass density	9.5	g cm⁻³
! Fermi-level density of states	10.3	states/eV/f.u.
! raw total energy	-148.4	eV per cell
! symmetry	R-3c
&SYSTEM
  ibrav = 0, nat = 22, ntyp = 3
/
ATOMIC_SPECIES
Th 232.04 Th.upf
Sb 121.76 Sb.upf
As 74.92 As.upf
CELL_PARAMETERS angstrom
6.1587 3.5557 5.2062
-6.1587 3.5557 5.2062
0.0000 -7.1114 5.2062
ATOMIC_POSITIONS angstrom
Th -5.3148 -1.4266 8.6807
Th -1.4219 -5.3161 6.9378
Th -1.4219 -1.7953 6.0776
Th -3.8929 3.8895 6.9378
Th -0.8438 2.1291 6.0776
Th -2.2658 0.3337 9.5409
Th 2.2658 -0.3338 6.0776
Th 0.8439 -2.1291 9.5409
Th 3.8929 -3.8895 8.6807
Th 1.4219 1.7953 9.5409
Th 1.4219 5.3161 8.6807
Th 5.3148 1.4266 6.9378
Sb -3.7865 0.5529 6.5077
Sb 0.0000 0.0000 3.9046
Sb -2.3721 -3.0028 9.1108
Sb 1.4144 -3.5557 6.5077
Sb -1.4144 3.5557 9.1108
Sb 2.3721 3.0028 6.5077
Sb 0.0000 0.0000 11.7139
Sb 3.7865 -0.5529 9.1108
As 0.0000 0.0000 0.0000
As 0.0000 0.0000 7.8093

=====

! YThSbAs | the Alexandria database | GGA-PBE | optimized geometry; values from VASP
! energy relative to the elements, uncorrected	-1247.6	meV per atom
! mass density	7.5	g cm⁻³
! Fermi-level density of states	2.0	states/eV/f.u.
! raw total energy	-27.6	eV per cell
! symmetry	R3m
&SYSTEM
  ibrav = 0, nat = 4, ntyp = 4
/
ATOMIC_SPECIES
Y 88.91 Y.upf
Th 232.04 Th.upf
Sb 121.76 Sb.upf
As 74.92 As.upf
CELL_PARAMETERS angstrom
2.1563 1.2449 7.0747
-2.1563 1.2449 7.0747
0.0000 -2.4898 7.0747
ATOMIC_POSITIONS angstrom
Y 0.0000 0.0000 0.0000
Th 0.0000 0.0000 10.8866
Sb 0.0000 0.0000 15.9989
As 0.0000 0.0000 5.4942

=====

! Ti5Sb2As2 | the Alexandria database | GGA-PBE | optimized geometry; values from VASP
! energy relative to the elements, uncorrected	-695.6	meV per atom
! mass density	6.4	g cm⁻³
! Fermi-level density of states	6.7	states/eV/f.u.
! raw total energy	-126.6	eV per cell
! symmetry	Cmce
&SYSTEM
  ibrav = 0, nat = 18, ntyp = 3
/
ATOMIC_SPECIES
Ti 47.87 Ti.upf
Sb 121.76 Sb.upf
As 74.92 As.upf
CELL_PARAMETERS angstrom
6.7935 -3.4985 0.0000
6.7935 3.4985 0.0000
0.0000 0.0000 6.9413
ATOMIC_POSITIONS angstrom
Ti 0.0000 0.0000 0.0000
Ti 5.1509 2.4439 4.5687
Ti 5.1509 1.0546 1.0981
Ti 8.4360 2.4439 4.5687
Ti 8.4360 1.0546 1.0981
Ti 6.7935 0.0000 3.4707
Ti 5.1509 -1.0546 5.8432
Ti 5.1509 -2.4439 2.3726
Ti 8.4360 -1.0546 5.8432
Ti 8.4360 -2.4439 2.3726
Sb 2.7917 0.0000 0.0000
Sb 4.0017 0.0000 3.4707
Sb 9.5852 0.0000 3.4707
Sb 10.7952 0.0000 0.0000
As 6.7935 2.4864 2.4929
As 6.7935 1.0121 5.9635
As 6.7935 -1.0121 0.9778
As 6.7935 -2.4864 4.4484

=====

! TiSb3As | the Alexandria database | GGA-PBE | optimized geometry; values from VASP
! energy relative to the elements, uncorrected	875.0	meV per atom
! mass density	5.6	g cm⁻³
! Fermi-level density of states	5.1	states/eV/f.u.
! E above lowest polymorph	42.9	kJ/mol of atoms
! raw total energy	-20.5	eV per cell
! symmetry	Pm-3m
&SYSTEM
  ibrav = 0, nat = 5, ntyp = 3
/
ATOMIC_SPECIES
Ti 47.87 Ti.upf
Sb 121.76 Sb.upf
As 74.92 As.upf
CELL_PARAMETERS angstrom
5.2567 0.0000 0.0000
0.0000 5.2567 0.0000
0.0000 0.0000 5.2567
ATOMIC_POSITIONS angstrom
Ti 0.0000 0.0000 0.0000
Sb 0.0000 2.6283 2.6283
Sb 2.6283 0.0000 2.6283
Sb 2.6283 2.6283 0.0000
As 2.6283 2.6283 2.6283

=====

! Ti8SbAs2 | the Alexandria database | GGA-PBE | optimized geometry; values from VASP
! energy relative to the elements, uncorrected	-435.3	meV per atom
! mass density	5.6	g cm⁻³
! Fermi-level density of states	12.4	states/eV/f.u.
! raw total energy	-81.4	eV per cell
! symmetry	C2/m
&SYSTEM
  ibrav = 0, nat = 11, ntyp = 3
/
ATOMIC_SPECIES
Ti 47.87 Ti.upf
Sb 121.76 Sb.upf
As 74.92 As.upf
CELL_PARAMETERS angstrom
3.6321 -5.7781 0.0000
3.6321 5.7781 0.0000
-1.7306 0.0000 4.6025
ATOMIC_POSITIONS angstrom
Ti 0.4126 1.3282 2.7944
Ti 3.6321 2.9817 0.0000
Ti 0.4126 -1.3282 2.7944
Ti 2.6615 0.0000 0.8642
Ti 2.8721 0.0000 3.7383
Ti 5.1211 1.3282 1.8080
Ti 3.6321 -2.9817 0.0000
Ti 5.1211 -1.3282 1.8080
Sb 0.0000 0.0000 0.0000
As 2.7668 2.2376 2.3012
As 2.7668 -2.2376 2.3012

=====

! Ti2Sb2As | the Alexandria database | GGA-PBE | optimized geometry; values from VASP
! energy relative to the elements, uncorrected	-354.1	meV per atom
! mass density	6.8	g cm⁻³
! Fermi-level density of states	3.5	states/eV/f.u.
! E above lowest polymorph	0.0	kJ/mol of atoms
! raw total energy	-60.9	eV per cell
! symmetry	P4/mbm
&SYSTEM
  ibrav = 0, nat = 10, ntyp = 3
/
ATOMIC_SPECIES
Ti 47.87 Ti.upf
Sb 121.76 Sb.upf
As 74.92 As.upf
CELL_PARAMETERS angstrom
7.2018 0.0000 0.0000
0.0000 7.2018 0.0000
0.0000 0.0000 3.8901
ATOMIC_POSITIONS angstrom
Ti 1.1094 2.4915 0.0000
Ti 2.4915 6.0924 0.0000
Ti 4.7103 1.1094 0.0000
Ti 6.0924 4.7103 0.0000
Sb 1.0638 4.6647 1.9450
Sb 2.5371 1.0638 1.9450
Sb 4.6647 6.1379 1.9450
Sb 6.1379 2.5371 1.9450
As 0.0000 0.0000 0.0000
As 3.6009 3.6009 0.0000

=====

! Ti2SbAs2 | the Alexandria database | GGA-PBE | optimized geometry; values from VASP
! energy relative to the elements, uncorrected	-476.8	meV per atom
! mass density	6.2	g cm⁻³
! Fermi-level density of states	6.0	states/eV/f.u.
! E above lowest polymorph	6.0	kJ/mol of atoms
! raw total energy	-31.6	eV per cell
! symmetry	I4/mmm
&SYSTEM
  ibrav = 0, nat = 5, ntyp = 3
/
ATOMIC_SPECIES
Ti 47.87 Ti.upf
Sb 121.76 Sb.upf
As 74.92 As.upf
CELL_PARAMETERS angstrom
-2.3925 2.3925 4.3289
2.3925 -2.3925 4.3289
2.3925 2.3925 -4.3289
ATOMIC_POSITIONS angstrom
Ti 2.3925 0.0000 2.1645
Ti 0.0000 2.3925 2.1645
Sb 0.0000 0.0000 0.0000
As 0.0000 0.0000 3.0962
As 0.0000 0.0000 5.5616

=====

! TiSb2As | the Alexandria database | GGA-PBE | optimized geometry; values from VASP
! energy relative to the elements, uncorrected	244.9	meV per atom
! mass density	4.7	g cm⁻³
! Fermi-level density of states	4.2	states/eV/f.u.
! raw total energy	-39.6	eV per cell
! symmetry	I-42d
&SYSTEM
  ibrav = 0, nat = 8, ntyp = 3
/
ATOMIC_SPECIES
Ti 47.87 Ti.upf
Sb 121.76 Sb.upf
As 74.92 As.upf
CELL_PARAMETERS angstrom
-3.1740 3.1740 6.3902
3.1740 -3.1740 6.3902
3.1740 3.1740 -6.3902
ATOMIC_POSITIONS angstrom
Ti 0.0000 0.0000 0.0000
Ti 0.0000 3.1740 3.1951
Sb 4.7611 1.5341 -1.5975
Sb 1.5341 1.5870 1.5975
Sb -1.5870 1.6399 4.7926
Sb 1.6399 1.5870 7.9877
As 3.1740 0.0000 3.1951
As 0.0000 0.0000 6.3902